Density functional theory data (PBE-GGA) for a relaxed structure of MnCoIr4.

Results
**Calculated volume**: 16.0 Å³ per atom
**DFT formation energy**: 484.2 meV/atom
**Polymorph energy (0 for the lowest one)**: 0.475 eV per atom

```
6
Lattice="0.000 3.635 3.635 3.635 0.000 3.635 3.635 3.635 0.000" Properties=species:S:1:pos:R:3 pbc="T T T"
Mn 0.000 0.000 0.000
Co 1.818 1.818 1.818
Ir 4.544 2.727 2.727
Ir 2.727 4.544 2.727
Ir 2.727 2.727 4.544
Ir 4.544 4.544 4.544
```

---

Density functional theory data (PBE-GGA) for a relaxed structure of MnCo2Ir.

Results
**Calculated volume**: 12.4 Å³ per atom
**DFT formation energy**: 139.0 meV/atom
**Polymorph energy (0 for the lowest one)**: 0.195 eV per atom

```
4
Lattice="1.327 0.766 8.094 -1.327 0.766 8.094 0.000 -1.533 8.094" Properties=species:S:1:pos:R:3 pbc="T T T"
Mn 0.000 0.000 0.000
Co 0.000 0.000 6.165
Co 0.000 0.000 18.118
Ir 0.000 0.000 12.141
```

---

Density functional theory data (PBE-GGA) for a relaxed structure of MnCoIr3.

Results
**Calculated volume**: 17.1 Å³ per atom
**DFT formation energy**: 1659.1 meV/atom
**Polymorph energy (0 for the lowest one)**: 1.609 eV per atom

```
5
Lattice="4.404 0.000 0.000 0.000 4.404 0.000 0.000 0.000 4.404" Properties=species:S:1:pos:R:3 pbc="T T T"
Mn 0.000 0.000 0.000
Co 2.202 2.202 2.202
Ir 0.000 0.000 2.202
Ir 0.000 2.202 0.000
Ir 2.202 0.000 0.000
```

---

Density functional theory data (PBE-GGA) for a relaxed structure of MnCo2Ir.

Results
**Calculated volume**: 12.7 Å³ per atom
**DFT formation energy**: 215.8 meV/atom
**Polymorph energy (0 for the lowest one)**: 0.272 eV per atom

```
4
Lattice="1.386 -2.198 0.000 1.386 2.198 0.000 0.000 0.000 8.363" Properties=species:S:1:pos:R:3 pbc="T T T"
Mn 0.000 0.000 0.000
Co 1.386 0.000 1.998
Co 1.386 0.000 6.365
Ir 0.000 0.000 4.181
```

---

Please write out number 2 again, unchanged.
Density functional theory data (PBE-GGA) for a relaxed structure of MnCo2Ir.

Results
**Calculated volume**: 12.4 Å³ per atom
**DFT formation energy**: 139.0 meV/atom
**Polymorph energy (0 for the lowest one)**: 0.195 eV per atom

```
4
Lattice="1.327 0.766 8.094 -1.327 0.766 8.094 0.000 -1.533 8.094" Properties=species:S:1:pos:R:3 pbc="T T T"
Mn 0.000 0.000 0.000
Co 0.000 0.000 6.165
Co 0.000 0.000 18.118
Ir 0.000 0.000 12.141
```

---

Q: The lowest DFT formation energy belongs to which entry?
A: number 2

---

Q: Among the records above, which one has the highest calculated volume?
A: MnCoIr3

---

Q: Number 3 is which compound?
A: MnCoIr3